[1]
First-principles (PBE-GGA) data for crystalline Eu2YAl at its relaxed geometry, as listed in the Alexandria database.

Geometry as extended XYZ:
```
4
Lattice="-0.936 3.406 -1.274 0.349 -1.225 -3.533 -8.686 -2.397 -0.026" Properties=species:S:1:pos:R:3 pbc="T T T"
Eu -6.886 -1.900 -0.021
Eu -1.800 -0.497 -0.005
Y -4.637 -0.108 -2.416
Al -0.294 1.091 -2.403
```

Output
As for the crystal system: tetragonal. Its formation energy is -3.55 kJ per mole of atoms.

[2]
First-principles (PBE-GGA) data for crystalline Cs5Rb4Au2 at its relaxed geometry, as listed in the Alexandria database.

Geometry as extended XYZ:
```
11
Lattice="-1.603 4.945 -2.063 -6.619 -4.099 -4.684 -9.659 2.655 13.873" Properties=species:S:1:pos:R:3 pbc="T T T"
Cs -10.486 1.352 11.391
Cs -5.793 -2.796 -2.202
Cs -10.235 -0.767 6.115
Cs -4.830 1.328 6.936
Cs -6.044 -0.677 3.073
Rb -9.207 -0.065 -0.584
Rb -3.525 2.116 0.230
Rb -14.356 1.385 6.896
Rb -8.674 3.567 7.710
Au -2.686 0.586 3.493
Au -13.592 -2.030 5.696
```

Output
As for the crystal system: monoclinic. Its formation energy is -9.28 kJ per mole of atoms.

[3]
First-principles (PBE-GGA) data for crystalline NbAl2Au2 at its relaxed geometry, as listed in the Alexandria database.

Geometry as extended XYZ:
```
10
Lattice="7.456 0.000 0.000 0.000 7.456 0.000 0.000 0.000 3.026" Properties=species:S:1:pos:R:3 pbc="T T T"
Au 2.559 1.169 1.513
Au 6.287 2.559 1.513
Au 4.897 6.287 1.513
Au 1.169 4.897 1.513
Al 1.060 2.669 0.000
Al 6.397 4.788 0.000
Al 4.788 1.060 0.000
Al 2.669 6.397 0.000
Nb 0.000 0.000 0.000
Nb 3.728 3.728 0.000
```

Output
As for the crystal system: tetragonal. Its formation energy is -22.77 kJ per mole of atoms.

[4]
First-principles (PBE-GGA) data for crystalline MgZrAg2 at its relaxed geometry, as listed in the Alexandria database.

Geometry as extended XYZ:
```
4
Lattice="3.196 0.000 0.000 0.000 3.638 0.000 0.000 0.000 6.765" Properties=species:S:1:pos:R:3 pbc="T T T"
Ag 1.598 1.819 1.705
Ag 0.000 0.000 0.095
Mg 0.000 0.000 3.173
Zr 1.598 1.819 5.174
```

Output
As for the crystal system: orthorhombic. Its formation energy is -3.07 kJ per mole of atoms.

[5]
First-principles (PBE-GGA) data for crystalline BeTe2As at its relaxed geometry, as listed in the Alexandria database.

Geometry as extended XYZ:
```
4
Lattice="5.892 -0.042 0.024 -1.065 5.795 -0.024 -0.143 -4.781 3.440" Properties=species:S:1:pos:R:3 pbc="T T T"
As 4.081 -0.974 1.732
Be 0.602 1.945 1.708
Te 2.285 2.724 0.000
Te 0.128 0.152 0.000
```

Output
The formation energy without anion corrections is 0.3890 eV per atom. As for the crystal system: orthorhombic.

[6]
First-principles (PBE-GGA) data for crystalline LaNd5Pd2 at its relaxed geometry, as listed in the Alexandria database.

Geometry as extended XYZ:
```
16
Lattice="-2.203 0.009 -3.329 3.698 -5.573 -0.068 -13.944 -9.364 9.199" Properties=species:S:1:pos:R:3 pbc="T T T"
Nd -7.856 -6.676 2.786
Nd -4.592 -8.252 3.015
Nd -13.739 -10.627 6.667
Nd -1.227 -1.736 0.807
Nd 1.290 -4.301 -0.866
Nd -11.221 -13.192 4.994
Nd -8.528 -11.162 5.611
Nd -7.352 -10.593 2.441
Nd -5.097 -4.335 3.360
Nd -3.921 -3.766 0.190
Pd -1.542 -4.201 -1.385
Pd -7.593 -8.501 5.000
Pd -10.906 -10.727 7.186
Pd -4.856 -6.426 0.802
La -10.846 -8.548 4.759
La -1.603 -6.380 1.043
```

Output
As for the crystal system: orthorhombic. Its formation energy is -31.18 kJ per mole of atoms.

Please write out number 1 again, unchanged.
First-principles (PBE-GGA) data for crystalline Eu2YAl at its relaxed geometry, as listed in the Alexandria database.

Geometry as extended XYZ:
```
4
Lattice="-0.936 3.406 -1.274 0.349 -1.225 -3.533 -8.686 -2.397 -0.026" Properties=species:S:1:pos:R:3 pbc="T T T"
Eu -6.886 -1.900 -0.021
Eu -1.800 -0.497 -0.005
Y -4.637 -0.108 -2.416
Al -0.294 1.091 -2.403
```

Output
As for the crystal system: tetragonal. Its formation energy is -3.55 kJ per mole of atoms.